The following is a DFT calculation (PBE+U) of LiCrNO2 after structural relaxation.

POSCAR file:
```
LiCrNO2
1.0
-1.8831 -0.0004 -3.0324
-0.7743 -3.4511 0.4813
-3.1149 0.9687 1.9342
N O Li Cr
1 2 1 1
Direct
0.0000 0.0000 0.5000
0.0000 0.5000 0.0000
0.5000 0.0000 0.0000
0.0000 0.0000 0.0000
0.5000 0.5000 0.5000
```

## Properties
Total energy: -25.90 eV for the cell shown
Volume: 48 Å³ per cell

The following is a DFT calculation (PBE+U) of LiCrNO2 after structural relaxation.

POSCAR file:
```
LiCrNO2
1.0
3.7237 0.0000 0.0000
0.0000 3.7237 0.0000
0.0000 0.0000 3.6415
Cr N O Li
1 1 2 1
Direct
0.0000 0.0000 0.0000
0.0000 0.0000 0.5000
0.0000 0.5000 0.0000
0.5000 0.0000 0.0000
0.5000 0.5000 0.5000
```

## Properties
Total energy: -29.99 eV for the cell shown
Volume: 50 Å³ per cell

The following is a DFT calculation (PBE+U) of LiCrN2O after structural relaxation.

POSCAR file:
```
LiCrN2O
1.0
3.5342 0.0000 0.0000
0.0000 3.5342 0.0000
0.0000 0.0000 3.5229
O N Cr Li
1 2 1 1
Direct
0.0000 0.0000 0.5000
0.0000 0.5000 0.0000
0.5000 0.0000 0.0000
0.5000 0.5000 0.5000
0.0000 0.0000 0.0000
```

## Properties
Total energy: -23.42 eV for the cell shown
Volume: 44 Å³ per cell

The following is a DFT calculation (PBE+U) of Li2CrNO after structural relaxation.

POSCAR file:
```
Li2CrNO
1.0
-3.0499 -1.0385 -1.2266
1.6071 -1.9397 -2.3536
0.0222 -3.1344 2.5983
Cr Li O N
1 2 1 1
Direct
0.0000 0.0000 0.5000
0.5000 0.0000 0.0000
0.0000 0.5000 0.0000
0.0000 0.0000 0.0000
0.5000 0.5000 0.5000
```

## Properties
Total energy: -28.01 eV for the cell shown
Volume: 48 Å³ per cell

The following is a DFT calculation (PBE+U) of LiCrN2O after structural relaxation.

POSCAR file:
```
LiCrN2O
1.0
3.6756 0.0000 0.0000
0.0000 3.6756 0.0000
0.0000 0.0000 3.7770
N Cr O Li
2 1 1 1
Direct
0.5000 0.0000 0.0000
0.0000 0.5000 0.0000
0.0000 0.0000 0.0000
0.0000 0.0000 0.5000
0.5000 0.5000 0.5000
```

## Properties
Total energy: -29.82 eV for the cell shown
Volume: 51 Å³ per cell

The following is a DFT calculation (PBE+U) of Sr6Li2Cr2N8O after structural relaxation.

POSCAR file:
```
Sr6Li2Cr2N8O
1.0
-4.4855 -3.7679 2.0580
2.6798 -4.8646 4.0254
-2.1086 2.9470 6.7011
N Sr Li O Cr
8 6 2 1 2
Direct
0.0769 0.2557 0.9777
0.2834 0.4323 0.6416
0.9231 0.7443 0.0223
0.0125 0.1788 0.6355
0.5334 0.0113 0.2659
0.7166 0.5677 0.3584
0.9875 0.8212 0.3645
0.4666 0.9887 0.7341
0.7079 0.1348 0.9305
0.3002 0.8119 0.5308
0.7992 0.6202 0.6983
0.2008 0.3798 0.3017
0.2921 0.8652 0.0695
0.6998 0.1881 0.4692
0.7751 0.4906 0.0918
0.2249 0.5094 0.9082
0.5000 0.5000 0.0000
0.2116 0.2119 0.7485
0.7884 0.7881 0.2515
```

## Properties
Total energy: -116.32 eV for the cell shown
Volume: 294 Å³ per cell